Entry 1:
Here is crystalline CaCr2Rh2 at its relaxed geometry from the Alexandria database. Energies are from PBE.

abc: 6.1004 6.1004 6.1004
angles: 140.97 140.97 56.38
Positions (direct):
Ca 0.0000 0.0000 0.0000
Cr 0.2500 0.7500 0.5000
Cr 0.7500 0.2500 0.5000
Rh 0.3802 0.3802 0.0000
Rh 0.6198 0.6198 0.0000

Properties
Energy of formation   57 meV/atom
Energy above the lowest structure with this stoichiometry   0.93 kJ per mole of atoms
Total DFT energy (no corrections)   -7.133 eV/atom

Entry 2:
Here is crystalline CaCrRh2 at its relaxed geometry from the Alexandria database. Energies are from PBE.

abc: 3.7257 3.7257 7.1522
angles: 93.61 93.61 44.86
Positions (direct):
Ca 0.0000 0.0000 0.0000
Cr 0.5000 0.5000 0.5000
Rh 0.2510 0.2510 0.6936
Rh 0.7490 0.7490 0.3064

Properties
Energy of formation   161 meV/atom
Energy above the lowest structure with this stoichiometry   26.95 kJ per mole of atoms
Total DFT energy (no corrections)   -6.421 eV/atom

Entry 3:
Here is crystalline Ca2CrRh at its relaxed geometry from the Alexandria database. Energies are from PBE.

abc: 6.2156 6.2156 6.2156
angles: 148.07 131.52 59.23
Positions (direct):
Ca 0.0000 0.0000 0.0000
Ca 0.7026 0.2026 0.5000
Cr 0.2987 0.7986 0.5000
Rh 0.4705 0.4705 0.0000

Properties
Energy of formation   118 meV/atom
Energy above the lowest structure with this stoichiometry   5.18 kJ per mole of atoms
Total DFT energy (no corrections)   -5.126 eV/atom

Entry 4:
Here is crystalline Ca2CrRh at its relaxed geometry from the Alexandria database. Energies are from PBE.

abc: 3.3953 3.3953 8.5075
angles: 90.00 90.00 90.00
Positions (direct):
Ca 0.0000 0.0000 0.0000
Ca 0.5000 0.5000 0.3881
Cr 0.0000 0.0000 0.6450
Rh 0.5000 0.5000 0.7627

Properties
Energy of formation   126 meV/atom
Energy above the lowest structure with this stoichiometry   5.89 kJ per mole of atoms
Total DFT energy (no corrections)   -5.119 eV/atom

Entry 5:
Here is crystalline CaCrRh2 at its relaxed geometry from the Alexandria database. Energies are from PBE.

abc: 5.2683 5.2683 4.7662
angles: 107.93 107.93 32.44
Positions (direct):
Ca 0.0000 0.0000 0.0000
Cr 0.7808 0.7808 0.3859
Rh 0.2430 0.2430 0.8589
Rh 0.5137 0.5137 0.4961

Properties
Energy of formation   62 meV/atom
Energy above the lowest structure with this stoichiometry   17.41 kJ per mole of atoms
Total DFT energy (no corrections)   -6.520 eV/atom

Entry 6:
Here is crystalline CaCrRh4 at its relaxed geometry from the Alexandria database. Energies are from PBE.

abc: 5.2295 5.2295 5.2295
angles: 60.00 60.00 60.00
Positions (direct):
Ca 0.0000 0.0000 0.0000
Cr 0.7500 0.7500 0.7500
Rh 0.3754 0.3754 0.3754
Rh 0.3754 0.3754 0.8739
Rh 0.3754 0.8739 0.3754
Rh 0.8739 0.3754 0.3754

Properties
Energy of formation   -18 meV/atom
Total DFT energy (no corrections)   -6.857 eV/atom

Entry 7:
Here is crystalline Ca2CrRh at its relaxed geometry from the Alexandria database. Energies are from PBE.

abc: 4.9599 4.9599 4.9599
angles: 60.00 60.00 60.00
Positions (direct):
Ca 0.0000 0.0000 0.0000
Ca 0.2500 0.2500 0.2500
Cr 0.7500 0.7500 0.7500
Rh 0.5000 0.5000 0.5000

Properties
Energy of formation   248 meV/atom
Energy above the lowest structure with this stoichiometry   17.69 kJ per mole of atoms
Total DFT energy (no corrections)   -4.997 eV/atom

Entry 8:
Here is crystalline Ca2CrRh at its relaxed geometry from the Alexandria database. Energies are from PBE.

abc: 4.2214 5.8866 5.8866
angles: 44.23 90.00 90.00
Positions (direct):
Ca 0.0000 0.0000 0.0000
Ca 0.5000 0.2880 0.2880
Cr 0.0000 0.6991 0.6991
Rh 0.5000 0.5877 0.5877

Properties
Energy of formation   65 meV/atom
Energy above the lowest structure with this stoichiometry   0.00 kJ per mole of atoms
Total DFT energy (no corrections)   -5.180 eV/atom

Entry 9:
Here is crystalline CaCrRu2Rh at its relaxed geometry from the Alexandria database. Energies are from PBE.

abc: 4.3665 4.3665 4.9207
angles: 90.00 90.00 90.00
Positions (direct):
Ca 0.0000 0.0000 0.0000
Cr 0.0000 0.0000 0.5000
Ru 0.0000 0.5000 0.5000
Ru 0.5000 0.0000 0.5000
Rh 0.5000 0.5000 0.0000

Properties
Energy of formation   1135 meV/atom
Total DFT energy (no corrections)   -6.370 eV/atom

Entry 10:
Here is crystalline CaCr2TcRh at its relaxed geometry from the Alexandria database. Energies are from PBE.

abc: 4.2362 4.2362 4.4728
angles: 90.00 90.00 90.00
Positions (direct):
Ca 0.0000 0.0000 0.0000
Cr 0.0000 0.5000 0.0000
Cr 0.5000 0.0000 0.0000
Tc 0.0000 0.0000 0.5000
Rh 0.5000 0.5000 0.5000

Properties
Energy of formation   2513 meV/atom
Energy above the lowest structure with this stoichiometry   175.18 kJ per mole of atoms
Total DFT energy (no corrections)   -5.281 eV/atom

Entry 11:
Here is crystalline CaCr2TcRh at its relaxed geometry from the Alexandria database. Energies are from PBE.

abc: 4.5941 4.5941 4.8855
angles: 90.00 90.00 90.00
Positions (direct):
Ca 0.0000 0.0000 0.0000
Cr 0.0000 0.5000 0.5000
Cr 0.5000 0.0000 0.5000
Tc 0.5000 0.5000 0.5000
Rh 0.5000 0.5000 0.0000

Properties
Energy of formation   697 meV/atom
Energy above the lowest structure with this stoichiometry   0.00 kJ per mole of atoms
Total DFT energy (no corrections)   -7.096 eV/atom

Entry 12:
Here is crystalline Ca2CrRu at its relaxed geometry from the Alexandria database. Energies are from PBE.

abc: 5.5741 5.5741 5.5741
angles: 138.58 124.08 71.92
Positions (direct):
Ca 0.0000 0.0000 0.0000
Ca 0.7018 0.2018 0.5000
Cr 0.2901 0.7901 0.5000
Ru 0.4198 0.4198 0.0000

Properties
Energy of formation   337 meV/atom
Energy above the lowest structure with this stoichiometry   5.95 kJ per mole of atoms
Total DFT energy (no corrections)   -5.389 eV/atom

Entry 13:
Here is crystalline Ca2CrRu at its relaxed geometry from the Alexandria database. Energies are from PBE.

abc: 4.9188 4.9188 4.9188
angles: 60.00 60.00 60.00
Positions (direct):
Ca 0.0000 0.0000 0.0000
Ca 0.2500 0.2500 0.2500
Cr 0.7500 0.7500 0.7500
Ru 0.5000 0.5000 0.5000

Properties
Energy of formation   557 meV/atom
Energy above the lowest structure with this stoichiometry   27.22 kJ per mole of atoms
Total DFT energy (no corrections)   -5.168 eV/atom

Entry 14:
Here is crystalline CaCrRu at its relaxed geometry from the Alexandria database. Energies are from PBE.

abc: 6.1503 6.1503 6.1503
angles: 150.21 150.21 42.64
Positions (direct):
Ca 0.0000 0.0000 0.0000
Cr 0.2853 0.2853 0.0000
Ru 0.6941 0.6941 0.0000

Properties
Energy of formation   311 meV/atom
Energy above the lowest structure with this stoichiometry   0.00 kJ per mole of atoms
Total DFT energy (no corrections)   -6.656 eV/atom

Entry 15:
Here is crystalline Ca2CrRu at its relaxed geometry from the Alexandria database. Energies are from PBE.

abc: 4.8936 4.8936 4.8936
angles: 60.00 60.00 60.00
Positions (direct):
Ca 0.2500 0.2500 0.2500
Ca 0.7500 0.7500 0.7500
Cr 0.0000 0.0000 0.0000
Ru 0.5000 0.5000 0.5000

Properties
Energy of formation   1058 meV/atom
Energy above the lowest structure with this stoichiometry   75.53 kJ per mole of atoms
Total DFT energy (no corrections)   -4.668 eV/atom

Entry 16:
Here is crystalline Ca2CrRu at its relaxed geometry from the Alexandria database. Energies are from PBE.

abc: 3.5165 3.5821 7.2868
angles: 90.00 90.00 90.00
Positions (direct):
Ca 0.0000 0.0000 0.2200
Ca 0.0000 0.0000 0.7800
Cr 0.5000 0.5000 0.5000
Ru 0.5000 0.5000 0.0000

Properties
Energy of formation   570 meV/atom
Energy above the lowest structure with this stoichiometry   28.44 kJ per mole of atoms
Total DFT energy (no corrections)   -5.156 eV/atom

Entry 17:
Here is crystalline Ca2CrRu at its relaxed geometry from the Alexandria database. Energies are from PBE.

abc: 9.9297 9.9297 9.9297
angles: 19.46 19.46 19.46
Positions (direct):
Ca 0.2377 0.2377 0.2377
Ca 0.7623 0.7623 0.7623
Cr 0.0000 0.0000 0.0000
Ru 0.5000 0.5000 0.5000

Properties
Energy of formation   722 meV/atom
Energy above the lowest structure with this stoichiometry   43.09 kJ per mole of atoms
Total DFT energy (no corrections)   -5.004 eV/atom

Entry 18:
Here is crystalline Ca2CrRu at its relaxed geometry from the Alexandria database. Energies are from PBE.

abc: 4.7576 4.7576 3.9263
angles: 90.00 90.00 90.00
Positions (direct):
Ca 0.0000 0.5000 0.0000
Ca 0.5000 0.0000 0.0000
Cr 0.0000 0.0000 0.5000
Ru 0.5000 0.5000 0.5000

Properties
Energy of formation   587 meV/atom
Energy above the lowest structure with this stoichiometry   30.13 kJ per mole of atoms
Total DFT energy (no corrections)   -5.138 eV/atom

Entry 19:
Here is crystalline CaCr2Ru2 at its relaxed geometry from the Alexandria database. Energies are from PBE.

abc: 7.5260 7.5260 2.7357
angles: 90.00 90.00 90.00
Positions (direct):
Ca 0.0000 0.0000 0.0000
Ca 0.5000 0.5000 0.0000
Cr 0.1421 0.3579 0.5000
Cr 0.3579 0.8579 0.5000
Cr 0.6421 0.1421 0.5000
Cr 0.8579 0.6421 0.5000
Ru 0.1423 0.6423 0.0000
Ru 0.3577 0.1423 0.0000
Ru 0.6423 0.8577 0.0000
Ru 0.8577 0.3577 0.0000

Properties
Energy of formation   313 meV/atom
Energy above the lowest structure with this stoichiometry   12.16 kJ per mole of atoms
Total DFT energy (no corrections)   -7.647 eV/atom

Entry 20:
Here is crystalline CaCrRu3 at its relaxed geometry from the Alexandria database. Energies are from PBE.

abc: 4.5049 4.5049 4.5049
angles: 90.00 90.00 90.00
Positions (direct):
Ca 0.0000 0.0000 0.0000
Cr 0.5000 0.5000 0.5000
Ru 0.0000 0.5000 0.5000
Ru 0.5000 0.0000 0.5000
Ru 0.5000 0.5000 0.0000

Properties
Energy of formation   665 meV/atom
Energy above the lowest structure with this stoichiometry   0.00 kJ per mole of atoms
Total DFT energy (no corrections)   -7.225 eV/atom

Entry 21:
Here is crystalline CaCrRu2 at its relaxed geometry from the Alexandria database. Energies are from PBE.

abc: 4.2954 5.7244 5.7244
angles: 29.90 90.00 90.00
Positions (direct):
Ca 0.0000 0.0000 0.0000
Cr 0.5000 0.6609 0.6609
Ru 0.0000 0.7451 0.7451
Ru 0.5000 0.3340 0.3340

Properties
Energy of formation   478 meV/atom
Energy above the lowest structure with this stoichiometry   22.33 kJ per mole of atoms
Total DFT energy (no corrections)   -7.066 eV/atom

Entry 22:
Here is crystalline CaCrRu at its relaxed geometry from the Alexandria database. Energies are from PBE.

abc: 3.9300 3.9300 4.8879
angles: 90.00 90.00 120.00
Positions (direct):
Ca 0.0000 0.0000 0.0000
Cr 0.3333 0.6667 0.5000
Ru 0.6667 0.3333 0.5000

Properties
Energy of formation   385 meV/atom
Energy above the lowest structure with this stoichiometry   7.11 kJ per mole of atoms
Total DFT energy (no corrections)   -6.582 eV/atom

Entry 23:
Here is crystalline CaCr2Ru2 at its relaxed geometry from the Alexandria database. Energies are from PBE.

abc: 7.4985 7.4985 2.7268
angles: 90.00 90.00 90.00
Positions (direct):
Ca 0.0000 0.0000 0.0000
Ca 0.5000 0.5000 0.0000
Cr 0.1431 0.3569 0.0000
Cr 0.3569 0.8569 0.0000
Cr 0.6431 0.1431 0.0000
Cr 0.8569 0.6431 0.0000
Ru 0.1438 0.6438 0.5000
Ru 0.3562 0.1438 0.5000
Ru 0.6438 0.8562 0.5000
Ru 0.8562 0.3562 0.5000

Properties
Energy of formation   282 meV/atom
Energy above the lowest structure with this stoichiometry   9.16 kJ per mole of atoms
Total DFT energy (no corrections)   -7.678 eV/atom

Entry 24:
Here is crystalline CaCrRu2 at its relaxed geometry from the Alexandria database. Energies are from PBE.

abc: 3.0516 4.4948 4.7579
angles: 90.00 90.00 90.00
Positions (direct):
Ca 0.0000 0.0000 0.0000
Cr 0.5000 0.0000 0.5000
Ru 0.0000 0.5000 0.5000
Ru 0.5000 0.5000 0.0000

Properties
Energy of formation   595 meV/atom
Energy above the lowest structure with this stoichiometry   33.61 kJ per mole of atoms
Total DFT energy (no corrections)   -6.949 eV/atom

Entry 25:
Here is crystalline CaCrRu2 at its relaxed geometry from the Alexandria database. Energies are from PBE.

abc: 5.2912 5.2912 5.2912
angles: 147.23 124.85 65.65
Positions (direct):
Ca 0.0000 0.0000 0.0000
Cr 0.5000 0.5000 0.0000
Ru 0.2865 0.7865 0.5000
Ru 0.7135 0.2135 0.5000

Properties
Energy of formation   446 meV/atom
Energy above the lowest structure with this stoichiometry   19.20 kJ per mole of atoms
Total DFT energy (no corrections)   -7.098 eV/atom

Entry 26:
Here is crystalline CaCrRu at its relaxed geometry from the Alexandria database. Energies are from PBE.

abc: 4.5774 4.5774 4.5774
angles: 60.00 60.00 60.00
Positions (direct):
Ca 0.0000 0.0000 0.0000
Cr 0.2500 0.2500 0.2500
Ru 0.7500 0.7500 0.7500

Properties
Energy of formation   1521 meV/atom
Energy above the lowest structure with this stoichiometry   116.68 kJ per mole of atoms
Total DFT energy (no corrections)   -5.446 eV/atom

Entry 27:
Here is crystalline CaCrRu2 at its relaxed geometry from the Alexandria database. Energies are from PBE.

abc: 4.5307 4.5307 3.0795
angles: 90.00 90.00 90.00
Positions (direct):
Ca 0.0000 0.0000 0.0000
Cr 0.5000 0.5000 0.0000
Ru 0.0000 0.5000 0.5000
Ru 0.5000 0.0000 0.5000

Properties
Energy of formation   518 meV/atom
Energy above the lowest structure with this stoichiometry   26.11 kJ per mole of atoms
Total DFT energy (no corrections)   -7.027 eV/atom

Entry 28:
Here is crystalline Ca2CrRu at its relaxed geometry from the Alexandria database. Energies are from PBE.

abc: 7.7809 7.7809 7.7809
angles: 95.00 95.00 145.67
Positions (direct):
Ca 0.3750 0.2078 0.3328
Ca 0.7922 0.1250 0.1672
Ca 0.8750 0.0422 0.6672
Ca 0.9578 0.6250 0.8328
Cr 0.2500 0.7500 0.5000
Cr 0.5000 0.5000 0.0000
Ru 0.0000 0.0000 0.0000
Ru 0.7500 0.2500 0.5000

Properties
Energy of formation   584 meV/atom
Energy above the lowest structure with this stoichiometry   29.82 kJ per mole of atoms
Total DFT energy (no corrections)   -5.141 eV/atom

Entry 29:
Here is crystalline CaCrRu2 at its relaxed geometry from the Alexandria database. Energies are from PBE.

abc: 5.7677 5.7677 5.7677
angles: 104.54 104.54 119.86
Positions (direct):
Ca 0.0000 0.0000 0.0000
Ca 0.7500 0.2500 0.5000
Cr 0.2500 0.7500 0.5000
Cr 0.5000 0.5000 0.0000
Ru 0.1949 0.6250 0.0699
Ru 0.3750 0.4449 0.5699
Ru 0.5551 0.1250 0.9301
Ru 0.8750 0.8051 0.4301

Properties
Energy of formation   523 meV/atom
Energy above the lowest structure with this stoichiometry   26.65 kJ per mole of atoms
Total DFT energy (no corrections)   -7.021 eV/atom